DFT (PBE with a Hubbard U) results for a relaxed Li2Fe2OF6 crystal.

abc: 5.697 7.043 7.303
angles: 64.04 69.99 78.03
Atoms (fractional coordinates):
Li (0.324, 0.385, 0.218)
F (0.679, 0.254, 0.803)
Fe (0.331, 0.419, 0.721)
F (0.572, 0.901, 0.755)
F (0.089, 0.974, 0.648)
F (0.144, 0.178, 0.902)
F (0.297, 0.532, 0.928)
F (0.703, 0.468, 0.072)
O (0.491, 0.334, 0.485)
F (0.026, 0.615, 0.622)
Li (0.676, 0.615, 0.782)
F (0.856, 0.822, 0.098)
Fe (0.770, 0.138, 0.584)
F (0.428, 0.099, 0.245)
F (0.911, 0.026, 0.352)
Li (0.210, 0.875, 0.918)
O (0.509, 0.666, 0.515)
Fe (0.230, 0.862, 0.416)
Fe (0.669, 0.581, 0.279)
F (0.974, 0.385, 0.378)
Li (0.790, 0.125, 0.082)
F (0.321, 0.746, 0.197)

Calculated values
final energy: -5.23 eV per atom
space group: P-1 (2)